PmPr2Nd5Sm: relaxed, PBE.

Unit cell a=8.8628 b=8.8628 c=16.2486 alpha=90.00 beta=90.00 gamma=90.00
Last column: nearest neighbours and their distance in Å.
Space group I4/mcm (No. 140)
Asymmetric unit:
Pm  0.0000  0.0000  0.2500 (multiplicity 4)  10 Nd 3.64-4.06
Pr  0.1195  0.3805  0.0000 (multiplicity 8)  1 Pr 3.00, 2 Nd 3.13
Nd  0.0000  0.0000  0.0000 (multiplicity 4)  4 Pr 3.53, 8 Nd 3.91
Nd  0.2090  0.2910  0.3596 (multiplicity 16)  1 Pr 3.13, 1 Sm 3.17
Sm  0.0000  0.5000  0.2500 (multiplicity 4)  4 Nd 3.17

ΔE_f = 0.25 eV per atom
ρ = 6.76 Mg/m³

***

TaTl3Rh: relaxed, PBE.

Unit cell a=5.3991 b=5.3991 c=5.3991 alpha=90.00 beta=90.00 gamma=90.00
Last column: nearest neighbours and their distance in Å.
Space group Pm-3m (No. 221)
Asymmetric unit:
Ta  0.0000  0.0000  0.0000 (multiplicity 1)  6 Tl 2.70
Tl  0.0000  0.0000  0.5000 (multiplicity 3)  2 Ta 2.70
Rh  0.5000  0.5000  0.5000 (multiplicity 1)  12 Tl 3.82

ΔE_f = 1.34 eV per atom
offset from the most stable computed form = 1.053 eV/f.u.
ρ = 9.46 Mg/m³

***

PmSm5Dy2Er: relaxed, PBE.

Unit cell a=5.6367 b=20.2366 c=10.6873 alpha=90.00 beta=90.00 gamma=90.00
Last column: nearest neighbours and their distance in Å.
Space group Cmc2_1 (No. 36)
Asymmetric unit:
Pm  0.0000  0.2011  0.0000 (multiplicity 4)  2 Dy 3.44-3.72, 7 Sm 3.51-3.80, 2 Er 3.66
Sm  0.0000  0.0167  0.0130 (multiplicity 4)  2 Er 3.25, 3 Dy 3.44-3.59
Sm  0.0000  0.2813  0.2982 (multiplicity 4)  1 Er 3.08, 1 Dy 3.35, 2 Sm 3.43
Sm  0.0000  0.2984  0.6954 (multiplicity 4)  3 Sm 3.43-3.69, 1 Er 3.48, 3 Pm 3.51-3.80, 3 Dy 3.52-3.82
Sm  0.0000  0.3917  0.0147 (multiplicity 4)  6 Sm 3.49-3.90, 4 Dy 3.59-3.62, 1 Pm 3.86
Sm  0.0000  0.4797  0.7317 (multiplicity 4)  2 Er 3.20-3.33, 2 Sm 3.49-3.51, 2 Dy 3.51
Dy  0.0000  0.1102  0.7275 (multiplicity 4)  7 Sm 3.44-3.82, 1 Pm 3.44, 2 Er 3.70
Dy  0.0000  0.1156  0.3078 (multiplicity 4)  9 Sm 3.35-3.73, 1 Pm 3.72
Er  0.0000  0.4109  0.4485 (multiplicity 4)  5 Sm 3.08-3.33

ΔE_f = 0.15 eV per atom
ρ = 7.57 Mg/m³

***

NdGe4Rh4: relaxed, PBE.

Unit cell a=6.1561 b=6.1561 c=8.2525 alpha=90.00 beta=90.00 gamma=90.00
Last column: nearest neighbours and their distance in Å.
Space group P4_2/nmc (No. 137, origin choice 2)
Asymmetric unit:
Nd  0.2500  0.7500  0.2500 (multiplicity 2)  4 Ge 3.22, 12 Rh 3.52-3.54
Ge  0.0408  0.2500  0.0744 (multiplicity 8)  5 Rh 2.47-2.53, 1 Ge 2.58
Rh  0.0205  0.2500  0.3736 (multiplicity 8)  5 Ge 2.47-2.53

ΔE_f = -0.63 eV per atom
ρ = 8.99 Mg/m³

***

PaAl10Os2: relaxed, PBE.

Unit cell a=9.0228 b=10.2917 c=9.1485 alpha=90.00 beta=90.00 gamma=90.00
Last column: nearest neighbours and their distance in Å.
Space group Cmcm (No. 63)
Asymmetric unit:
Pa  0.0000  0.1267  0.2500 (multiplicity 4)  14 Al 3.17-3.29, 4 Os 3.45
Al  0.0000  0.1550  0.6030 (multiplicity 8)  2 Os 2.63, 8 Al 2.67-2.91
Al  0.0000  0.3771  0.0485 (multiplicity 8)  2 Os 2.65, 6 Al 2.67-2.87
Al  0.1491  0.3684  0.7500 (multiplicity 8)  7 Al 2.69-2.91, 2 Os 2.75
Al  0.2186  0.0000  0.0000 (multiplicity 8)  2 Os 2.59, 6 Al 2.71-2.87
Al  0.2244  0.3687  0.2500 (multiplicity 8)  2 Os 2.60, 8 Al 2.69-2.84
Os  0.2500  0.2500  0.0000 (multiplicity 8)  10 Al 2.59-2.75

ΔE_f = -0.40 eV per atom
ρ = 6.89 Mg/m³

***

La2PbW: relaxed, PBE.

Unit cell a=4.7488 b=4.7488 c=9.3391 alpha=90.00 beta=90.00 gamma=90.00
Last column: nearest neighbours and their distance in Å.
Space group I-4m2 (No. 119)
Asymmetric unit:
La  0.0000  0.0000  0.0000 (multiplicity 2)  4 La 3.33, 4 Pb 3.33, 4 W 3.36
La  0.0000  0.5000  0.2500 (multiplicity 2)  4 La 3.33, 4 W 3.33, 4 Pb 3.36
Pb  0.0000  0.5000  0.7500 (multiplicity 2)  8 La 3.33-3.36, 4 W 3.33
W  0.0000  0.0000  0.5000 (multiplicity 2)  8 La 3.33-3.36, 4 Pb 3.33

ΔE_f = 0.39 eV per atom
ρ = 10.55 Mg/m³

***

CoPbSe2: relaxed, PBE.

Unit cell a=3.1996 b=3.2379 c=16.5704 alpha=90.00 beta=90.00 gamma=90.00
Last column: nearest neighbours and their distance in Å.
Space group Imm2 (No. 44)
Asymmetric unit:
Co  0.0000  0.0000  0.0000 (multiplicity 2)  6 Se 2.36-2.53
Pb  0.0000  0.5000  0.2390 (multiplicity 2)  4 Pb 3.20-3.24, 6 Se 3.27-3.47
Se  0.0000  0.0000  0.5671 (multiplicity 2)  4 Co 2.53
Se  0.0000  0.5000  0.8968 (multiplicity 2)  2 Co 2.36

uncorrected formation energy = 0.004 eV/atom
ρ = 8.20 Mg/m³

***

TeRh2Br: relaxed, PBE.

Unit cell a=6.7155 b=6.7155 c=6.7155 alpha=90.00 beta=90.00 gamma=90.00
Last column: nearest neighbours and their distance in Å.
Space group F-43m (No. 216)
Asymmetric unit:
Te  0.0000  0.0000  0.0000 (multiplicity 4)  4 Br 2.91, 4 Rh 2.91
Rh  0.0000  0.0000  0.5000 (multiplicity 4)  4 Br 2.91, 4 Rh 2.91
Rh  0.2500  0.2500  0.2500 (multiplicity 4)  4 Te 2.91, 4 Rh 2.91
Br  0.2500  0.2500  0.7500 (multiplicity 4)  4 Te 2.91, 4 Rh 2.91

offset from the most stable computed form = 3.188 eV/f.u.
uncorrected formation energy = 0.691 eV/atom
ρ = 9.06 Mg/m³

***

Y3Be2CuPd9: relaxed, PBE.

Unit cell a=6.5917 b=6.5917 c=7.0279 alpha=90.00 beta=90.00 gamma=120.00
Last column: nearest neighbours and their distance in Å.
Space group P-3m1 (No. 164)
Asymmetric unit:
Y  0.0000  0.0000  0.0000 (multiplicity 1)  12 Pd 3.12-3.30
Y  0.3333  0.6667  0.6688 (multiplicity 2)  6 Pd 2.93-3.01
Be  0.3333  0.6667  0.1420 (multiplicity 2)  6 Pd 2.15-2.16
Cu  0.0000  0.0000  0.5000 (multiplicity 1)  6 Pd 2.41
Pd  0.0000  0.5000  0.0000 (multiplicity 3)  2 Be 2.15
Pd  0.1833  0.3666  0.3300 (multiplicity 6)  1 Be 2.16, 1 Cu 2.41

ΔE_f = -0.56 eV per atom
ρ = 8.20 Mg/m³

***

K6PuCl12: relaxed, PBE.

Unit cell a=13.3797 b=13.3797 c=13.2679 alpha=90.00 beta=90.00 gamma=120.00
Last column: nearest neighbours and their distance in Å.
Space group R-3 (No. 148, hexagonal axes)
Asymmetric unit:
K  0.0558  0.7976  0.1375 (multiplicity 18)  4 Cl 3.09-3.14
Pu  0.0000  0.0000  0.5000 (multiplicity 3)  6 Cl 2.57
Cl  0.0511  0.8083  0.9011 (multiplicity 18)  4 K 3.09-3.14, 1 Cl 3.34
Cl  0.0574  0.8781  0.3913 (multiplicity 18)  1 Pu 2.57

uncorrected formation energy = -1.623 eV/atom
ρ = 2.19 Mg/m³

***

Pm5Ga2Sb: relaxed, PBE.

Unit cell a=8.3696 b=8.3696 c=13.0334 alpha=90.00 beta=90.00 gamma=90.00
Last column: nearest neighbours and their distance in Å.
Space group I4/mcm (No. 140)
Asymmetric unit:
Pm  0.0000  0.0000  0.0000 (multiplicity 4)  4 Ga 3.22, 2 Sb 3.26
Pm  0.1577  0.3423  0.1440 (multiplicity 16)  3 Ga 3.02-3.14
Ga  0.1424  0.3576  0.5000 (multiplicity 8)  8 Pm 3.02-3.22, 1 Ga 3.37
Sb  0.0000  0.0000  0.2500 (multiplicity 4)  10 Pm 3.26-3.44

uncorrected formation energy = -0.630 eV/atom
ρ = 7.17 Mg/m³

***

Sr3HgPt2: relaxed, PBE.

Unit cell a=4.3229 b=18.2282 c=4.5327 alpha=90.00 beta=90.00 gamma=90.00
Last column: nearest neighbours and their distance in Å.
Space group Cmmm (No. 65)
Asymmetric unit:
Sr  0.0000  0.0000  0.0000 (multiplicity 2)  4 Hg 3.13, 4 Pt 3.14
Sr  0.0000  0.1623  0.5000 (multiplicity 4)  4 Pt 3.20
Hg  0.0000  0.5000  0.5000 (multiplicity 2)  4 Sr 3.13, 4 Pt 3.21
Pt  0.0000  0.3750  0.0000 (multiplicity 4)  6 Sr 3.14-3.20, 2 Hg 3.21

ΔE_f = -0.51 eV per atom
ρ = 7.94 Mg/m³

***

Ba2AlW: relaxed, PBE.

Unit cell a=6.9590 b=10.2797 c=3.2214 alpha=90.00 beta=90.00 gamma=90.00
Last column: nearest neighbours and their distance in Å.
Space group Cmmm (No. 65)
Asymmetric unit:
Ba  0.2500  0.2500  0.0000 (multiplicity 4)  4 Ba 3.22-3.48, 4 W 3.50, 4 Al 3.50
Al  0.0000  0.0000  0.5000 (multiplicity 2)  2 Al 3.22, 2 W 3.48, 8 Ba 3.50
W  0.0000  0.5000  0.5000 (multiplicity 2)  2 W 3.22, 2 Al 3.48, 8 Ba 3.50

ΔE_f = 1.09 eV per atom
ρ = 7.00 Mg/m³

***

K3BaTc: relaxed, PBE.

Unit cell a=6.2211 b=6.2211 c=6.2211 alpha=90.00 beta=90.00 gamma=90.00
Last column: nearest neighbours and their distance in Å.
Space group Pm-3m (No. 221)
Asymmetric unit:
K  0.0000  0.0000  0.5000 (multiplicity 3)  2 Tc 3.11
Ba  0.5000  0.5000  0.5000 (multiplicity 1)  12 K 4.40
Tc  0.0000  0.0000  0.0000 (multiplicity 1)  6 K 3.11

ΔE_f = 1.27 eV per atom
offset from the most stable computed form = 0.000 eV/f.u.
ρ = 2.43 Mg/m³

***

Sc4InRh: relaxed, PBE.

Unit cell a=8.1450 b=4.6945 c=8.1150 alpha=90.00 beta=109.50 gamma=90.00
Last column: nearest neighbours and their distance in Å.
Space group C2/m (No. 12)
Asymmetric unit:
Sc  0.1137  0.0000  0.3400 (multiplicity 4)  1 Rh 2.60
Sc  0.1335  0.5000  0.9009 (multiplicity 4)  3 Rh 2.81-2.82, 1 In 3.07, 3 Sc 3.11
In  0.0000  0.5000  0.5000 (multiplicity 2)  8 Sc 2.98-3.07
Rh  0.0000  0.0000  0.0000 (multiplicity 2)  8 Sc 2.60-2.82

ΔE_f = -0.32 eV per atom
offset from the most stable computed form = 1.328 eV/f.u.
ρ = 4.51 Mg/m³

***

KNaCdPd: relaxed, PBE.

Unit cell a=7.3572 b=7.3572 c=7.3572 alpha=90.00 beta=90.00 gamma=90.00
Last column: nearest neighbours and their distance in Å.
Space group F-43m (No. 216)
Asymmetric unit:
K  0.0000  0.0000  0.0000 (multiplicity 4)  4 Cd 3.19, 4 Na 3.19
Na  0.2500  0.2500  0.7500 (multiplicity 4)  4 K 3.19, 4 Pd 3.19
Cd  0.2500  0.2500  0.2500 (multiplicity 4)  4 Pd 3.19, 4 K 3.19
Pd  0.0000  0.0000  0.5000 (multiplicity 4)  4 Cd 3.19, 4 Na 3.19

ΔE_f = 0.01 eV per atom
ρ = 4.69 Mg/m³

***

K3Rb12S5: relaxed, PBE.

Unit cell a=21.7568 b=21.7568 c=21.7568 alpha=90.00 beta=90.00 gamma=90.00
Last column: nearest neighbours and their distance in Å.
Space group Ia-3d (No. 230)
Asymmetric unit:
K  0.0000  0.2500  0.1250 (multiplicity 24)  8 Rb 4.52-4.63
Rb  0.0424  0.1386  0.9551 (multiplicity 96)  2 S 3.13-3.30
S  0.0000  0.0000  0.0000 (multiplicity 16)  6 Rb 3.30
S  0.0000  0.2500  0.3750 (multiplicity 24)  4 Rb 3.13

uncorrected formation energy = -0.541 eV/atom
ρ = 1.68 Mg/m³

***

Tl3HgTeSe: relaxed, PBE.

Unit cell a=9.2497 b=4.3709 c=10.2131 alpha=90.00 beta=110.64 gamma=90.00
Last column: nearest neighbours and their distance in Å.
Space group P2_1/m (No. 11)
Asymmetric unit:
Tl  0.1555  0.2500  0.0982 (multiplicity 2)  2 Se 3.08
Tl  0.1811  0.2500  0.4813 (multiplicity 2)  3 Te 3.22, 3 Hg 3.39-3.52
Tl  0.3344  0.7500  0.8535 (multiplicity 2)  3 Se 3.01-3.30, 1 Hg 3.31
Hg  0.4794  0.7500  0.6000 (multiplicity 2)  2 Hg 3.11, 2 Se 3.14, 3 Tl 3.31-3.39
Te  0.0385  0.2500  0.7269 (multiplicity 2)  6 Tl 3.22-3.56
Se  0.4064  0.7500  0.1646 (multiplicity 2)  5 Tl 3.01-3.30, 2 Hg 3.14

uncorrected formation energy = -0.207 eV/atom
ρ = 8.77 Mg/m³